Entry 1:
The following is a DFT calculation (PBE) of crystalline K2BeHAu at its relaxed geometry.

The structure belongs to space group P4/mmm (No. 123); the cell edges are 6.0405, 6.0405 and 4.4098 Å and the angles 90.00°, 90.00° and 90.00°. The asymmetric unit holds K at (0.0000, 0.5000, 0.0000), Be at (0.0000, 0.0000, 0.0000), H at (0.5000, 0.5000, 0.5000) and Au at (0.0000, 0.0000, 0.5000).

As for the total energy: -2.20 eV per atom.


Entry 2:
The following is a DFT calculation (PBE) of crystalline Li2ReTeS at its relaxed geometry.

The structure belongs to space group P4/mmm (No. 123); the cell edges are 5.3015, 5.3015 and 4.3100 Å and the angles 90.00°, 90.00° and 90.00°. The asymmetric unit holds Li at (0.0000, 0.5000, 0.0000), Re at (0.0000, 0.0000, 0.0000), Te at (0.5000, 0.5000, 0.5000) and S at (0.0000, 0.0000, 0.5000).

The uncorrected formation energy is 407 meV/atom.